1.
## Zr3Si (PBE)

Data for an optimized crystal structure of Zr3Si.

Values from the calculation:
Its crystal system is cubic. Its theoretical density is 6.25 g/cm3. For the total moment, the calculation gives 0.0 Bohr magnetons per cell. As for the uncorrected formation energy: -35 kJ per mole of atoms. Its total DFT energy (no corrections) is -0.598 Ry/atom.

abc: 4.312 4.312 4.312
angles: 90.00 90.00 90.00
Fractional coordinates of all 4 atoms:
Zr: 0.000 0.000 0.500
Zr: 0.000 0.500 0.000
Zr: 0.500 0.000 0.000
Si: 0.500 0.500 0.500

2.
## Ac2ZnPtO6 (PBE)

Data for an optimized crystal structure of Ac2ZnPtO6.

Values from the calculation:
Its crystal system is monoclinic. Its theoretical density is 9.88 g/cm3. For the total moment, the calculation gives 0.0 Bohr magnetons per cell. As for the uncorrected formation energy: -210 kJ per mole of atoms. Its total DFT energy (no corrections) is -0.493 Ry/atom.

abc: 5.773 5.803 9.972
angles: 90.00 125.34 90.00
Fractional coordinates of all 20 atoms:
Ac: 0.242 0.040 0.250
Ac: 0.242 0.460 0.750
Ac: 0.758 0.540 0.250
Ac: 0.758 0.960 0.750
Zn: 0.500 0.000 0.000
Zn: 0.500 0.500 0.500
Pt: 0.000 0.000 0.500
Pt: 0.000 0.500 0.000
O: 0.167 0.217 0.958
O: 0.167 0.283 0.458
O: 0.242 0.711 0.959
O: 0.242 0.789 0.459
O: 0.324 0.015 0.747
O: 0.324 0.485 0.247
O: 0.676 0.515 0.753
O: 0.676 0.985 0.253
O: 0.758 0.211 0.541
O: 0.758 0.289 0.041
O: 0.833 0.717 0.542
O: 0.833 0.783 0.042

3.
## Cs3SrLi (PBE)

Data for an optimized crystal structure of Cs3SrLi.

Values from the calculation:
The energy relative to the elements is 0.276 eV per atom. Its crystal system is cubic. Its theoretical density is 1.87 g/cm3. Its energy above the most stable polymorph in this dataset is 0 meV/atom. For the total moment, the calculation gives 0.0 Bohr magnetons per cell. Its total DFT energy (no corrections) is -0.070 Ry/atom.

abc: 7.590 7.590 7.590
angles: 90.00 90.00 90.00
Fractional coordinates of all 5 atoms:
Cs: 0.000 0.000 0.500
Cs: 0.000 0.500 0.000
Cs: 0.500 0.000 0.000
Sr: 0.500 0.500 0.500
Li: 0.000 0.000 0.000

4.
## PuU3Tl4Se8 (PBE)

Data for an optimized crystal structure of PuU3Tl4Se8.

Values from the calculation:
Its crystal system is trigonal. Its theoretical density is 8.37 g/cm3. For the total moment, the calculation gives 14.0 Bohr magnetons per cell. As for the uncorrected formation energy: -91 kJ per mole of atoms. Its total DFT energy (no corrections) is -0.463 Ry/atom.

abc: 9.209 9.209 9.209
angles: 54.20 54.20 54.20
Fractional coordinates of all 16 atoms:
Pu: 0.000 0.000 0.000
U: 0.000 0.500 0.500
U: 0.500 0.000 0.500
U: 0.500 0.500 0.000
Tl: 0.000 0.000 0.500
Tl: 0.000 0.500 0.000
Tl: 0.500 0.000 0.000
Tl: 0.500 0.500 0.500
Se: 0.237 0.237 0.730
Se: 0.237 0.730 0.237
Se: 0.265 0.265 0.265
Se: 0.270 0.763 0.763
Se: 0.730 0.237 0.237
Se: 0.735 0.735 0.735
Se: 0.763 0.270 0.763
Se: 0.763 0.763 0.270

5.
## SmEr5Zn6 (PBE)

Data for an optimized crystal structure of SmEr5Zn6.

Values from the calculation:
The energy relative to the elements is -0.340 eV per atom. Its crystal system is orthorhombic. Its theoretical density is 8.50 g/cm3. For the total moment, the calculation gives 0.0 Bohr magnetons per cell. Its total DFT energy (no corrections) is -0.240 Ry/atom.

abc: 7.943 7.943 7.135
angles: 90.00 90.00 143.21
Fractional coordinates of all 12 atoms:
Sm: 0.000 0.000 0.000
Er: 0.000 0.000 0.500
Er: 0.332 0.668 0.000
Er: 0.335 0.665 0.500
Er: 0.665 0.335 0.500
Er: 0.668 0.332 0.000
Zn: 0.169 0.831 0.255
Zn: 0.169 0.831 0.745
Zn: 0.500 0.500 0.255
Zn: 0.500 0.500 0.745
Zn: 0.831 0.169 0.255
Zn: 0.831 0.169 0.745